1.
# YBPt2

Crystalline YBPt2 at its relaxed geometry (PBE-GGA, Alexandria).

Calculated values
- crystal system = hexagonal
- uncorrected energy (eV per atom) = -7.322

Cell: 5.3616 5.3616 7.9882 Å, 90.00 90.00 120.00°
Last column: nearest neighbours and their distance in Å.
Space group P6_422 (No. 181)
Symmetry-distinct sites (fractional):
Y  0.0000  0.5000  0.3333 [3 per cell]  4 B 2.99, 10 Pt 3.03-3.23
B  0.0000  0.5000  0.8333 [3 per cell]  4 Pt 2.10
Pt  0.1523  0.3046  0.0000 [6 per cell]  2 B 2.10

=====

2.
# YB2Pt8

Crystalline YB2Pt8 at its relaxed geometry (PBE-GGA, Alexandria).

Calculated values
- crystal system = tetragonal
- uncorrected energy (eV per atom) = -6.245

Cell: 5.3157 5.3157 7.2446 Å, 90.00 90.00 90.00°
Last column: nearest neighbours and their distance in Å.
Space group P4/mmm (No. 123)
Symmetry-distinct sites (fractional):
Y  0.0000  0.0000  0.0000 [1 per cell]  8 Pt 2.93
B  0.0000  0.5000  0.5000 [2 per cell]  8 Pt 2.34
Pt  0.2527  0.2527  0.3086 [8 per cell]  2 B 2.34

=====

3.
# Y3BPt

Crystalline Y3BPt at its relaxed geometry (PBE-GGA, Alexandria).

Calculated values
- E above lowest polymorph (eV per formula unit) = 0.00
- crystal system = cubic

Cell: 4.9264 4.9264 4.9264 Å, 90.00 90.00 90.00°
Last column: nearest neighbours and their distance in Å.
Space group Pm-3m (No. 221)
Symmetry-distinct sites (fractional):
Y  0.0000  0.0000  0.5000 [3 per cell]  2 B 2.46
B  0.0000  0.0000  0.0000 [1 per cell]  6 Y 2.46
Pt  0.5000  0.5000  0.5000 [1 per cell]  12 Y 3.48

=====

4.
# YB3Pt6

Crystalline YB3Pt6 at its relaxed geometry (PBE-GGA, Alexandria).

Calculated values
- crystal system = triclinic
- uncorrected energy (eV per atom) = -6.782

Cell: 5.5959 5.6099 5.7490 Å, 109.27 91.05 119.44°
Last column: nearest neighbours and their distance in Å.
Space group P1 (No. 1)
Symmetry-distinct sites (fractional):
Y  0.0000  0.0000  0.0000 [1 per cell]  1 B 2.68, 7 Pt 2.85-2.99
B  0.1231  0.2322  0.5061 [1 per cell]  5 Pt 2.18-2.34
B  0.3486  0.7309  0.1362 [1 per cell]  6 Pt 2.13-2.29
B  0.6985  0.4089  0.1515 [1 per cell]  5 Pt 2.14-2.23
Pt  0.0912  0.5662  0.3822 [1 per cell]  3 B 2.13-2.29
Pt  0.4627  0.9454  0.8598 [1 per cell]  2 B 2.22-2.23
Pt  0.4722  0.1777  0.3843 [1 per cell]  3 B 2.16-2.21
Pt  0.4754  0.4551  0.8675 [1 per cell]  3 B 2.19-2.34
Pt  0.7132  0.8114  0.4014 [1 per cell]  3 B 2.20-2.28
Pt  0.9570  0.4072  0.8138 [1 per cell]  3 B 2.18-2.44

=====

5.
# Y2BPt6

Crystalline Y2BPt6 at its relaxed geometry (PBE-GGA, Alexandria).

Calculated values
- crystal system = trigonal
- uncorrected energy (eV per atom) = -7.146

Cell: 5.8171 5.8171 5.1669 Å, 90.00 90.00 120.00°
Last column: nearest neighbours and their distance in Å.
Space group P-3m1 (No. 164)
Symmetry-distinct sites (fractional):
Y  0.3333  0.6667  0.2233 [2 per cell]  12 Pt 2.92-3.13
B  0.0000  0.0000  0.0000 [1 per cell]  6 Pt 2.17
Pt  0.1671  0.3341  0.7344 [6 per cell]  1 B 2.17

=====

6.
# YBPt5

Crystalline YBPt5 at its relaxed geometry (PBE-GGA, Alexandria).

Calculated values
- crystal system = tetragonal
- uncorrected energy (eV per atom) = -6.799

Cell: 3.9395 3.9395 7.1038 Å, 90.00 90.00 90.00°
Last column: nearest neighbours and their distance in Å.
Space group P4/mmm (No. 123)
Symmetry-distinct sites (fractional):
Y  0.0000  0.0000  0.0000 [1 per cell]  12 Pt 2.79-2.96
B  0.5000  0.5000  0.5000 [1 per cell]  8 Pt 2.39
Pt  0.0000  0.5000  0.3103 [4 per cell]  2 B 2.39
Pt  0.5000  0.5000  0.0000 [1 per cell]  4 Y 2.79, 8 Pt 2.96

=====

7.
# Y2ZnBPt6

Crystalline Y2ZnBPt6 at its relaxed geometry (PBE-GGA, Alexandria).

Calculated values
- crystal system = trigonal
- uncorrected energy (eV per atom) = -6.592

Cell: 5.6106 5.6106 19.7382 Å, 90.00 90.00 120.00°
Last column: nearest neighbours and their distance in Å.
Space group R-3m (No. 166, hexagonal axes)
Symmetry-distinct sites (fractional):
Y  0.0000  0.0000  0.2089 [6 per cell]  9 Pt 3.03-3.28, 3 Zn 3.34
Zn  0.0000  0.0000  0.5000 [3 per cell]  6 Pt 2.54
B  0.0000  0.0000  0.0000 [3 per cell]  6 Pt 2.11
Pt  0.0081  0.5040  0.2675 [18 per cell]  1 B 2.11

=====

8.
# Zn2BPt2

Crystalline Zn2BPt2 at its relaxed geometry (PBE-GGA, Alexandria).

Calculated values
- crystal system = tetragonal
- uncorrected energy (eV per atom) = -4.516

Cell: 5.7237 5.7237 4.3758 Å, 90.00 90.00 90.00°
Last column: nearest neighbours and their distance in Å.
Space group P4/mbm (No. 127)
Symmetry-distinct sites (fractional):
Zn  0.1573  0.3427  0.0000 [4 per cell]  1 Zn 2.55, 2 Pt 2.59
B  0.0000  0.0000  0.5000 [2 per cell]  4 Pt 2.12
Pt  0.1706  0.6706  0.5000 [4 per cell]  2 B 2.12

=====

9.
# ZnBPt2

Crystalline ZnBPt2 at its relaxed geometry (PBE-GGA, Alexandria).

Calculated values
- crystal system = cubic
- uncorrected energy (eV per atom) = -4.809

Cell: 5.9240 5.9240 5.9240 Å, 90.00 90.00 90.00°
Last column: nearest neighbours and their distance in Å.
Space group Fm-3m (No. 225)
Symmetry-distinct sites (fractional):
Zn  0.0000  0.0000  0.0000 [4 per cell]  8 Pt 2.57
B  0.0000  0.0000  0.5000 [4 per cell]  8 Pt 2.57
Pt  0.2500  0.2500  0.2500 [8 per cell]  4 B 2.57, 4 Zn 2.57

=====

10.
# ZnB3Pt7

Crystalline ZnB3Pt7 at its relaxed geometry (PBE-GGA, Alexandria).

Calculated values
- crystal system = monoclinic
- uncorrected energy (eV per atom) = -6.002

Cell: 7.2917 8.0457 5.6153 Å, 90.00 110.84 90.00°
Last column: nearest neighbours and their distance in Å.
Space group C2/m (No. 12)
Symmetry-distinct sites (fractional):
Zn  0.0000  0.0000  0.0000 [2 per cell]  8 Pt 2.51-2.81
B  0.0000  0.2762  0.5000 [4 per cell]  5 Pt 2.14-2.27
B  0.0000  0.5000  0.0000 [2 per cell]  6 Pt 2.04-2.22
Pt  0.0000  0.0000  0.5000 [2 per cell]  2 B 2.22
Pt  0.1387  0.5000  0.7429 [4 per cell]  3 B 2.04-2.27
Pt  0.1559  0.2888  0.2421 [8 per cell]  2 B 2.14-2.22

=====

11.
# ZnB2Pt4

Crystalline ZnB2Pt4 at its relaxed geometry (PBE-GGA, Alexandria).

Calculated values
- crystal system = monoclinic
- uncorrected energy (eV per atom) = -5.658

Cell: 4.5022 3.4011 6.6580 Å, 90.00 96.90 90.00°
Last column: nearest neighbours and their distance in Å.
Space group P2/m (No. 10)
Symmetry-distinct sites (fractional):
Zn  0.0000  0.0000  0.0000 [1 per cell]  6 Pt 2.63-2.86
B  0.0000  0.0000  0.5000 [1 per cell]  6 Pt 2.18-2.22
B  0.5000  0.5000  0.5000 [1 per cell]  6 Pt 2.15-2.25
Pt  0.0874  0.5000  0.3019 [2 per cell]  3 B 2.15-2.22
Pt  0.4154  0.0000  0.7066 [2 per cell]  3 B 2.18-2.25

=====

12.
# ZnBPt2

Crystalline ZnBPt2 at its relaxed geometry (PBE-GGA, Alexandria).

Calculated values
- crystal system = trigonal
- uncorrected energy (eV per atom) = -5.228

Cell: 3.1698 3.1698 19.2832 Å, 90.00 90.00 120.00°
Last column: nearest neighbours and their distance in Å.
Space group R-3m (No. 166, hexagonal axes)
Symmetry-distinct sites (fractional):
Zn  0.0000  0.0000  0.0000 [3 per cell]  6 Pt 2.73
B  0.0000  0.0000  0.5000 [3 per cell]  6 Pt 2.18
Pt  0.0000  0.0000  0.2281 [6 per cell]  3 B 2.18